No. 1
The following is a PBE calculation of a relaxed Ta2CdN2 crystal, from Alexandria via LeMat-Bulk.

Properties
The value obtained for the total DFT energy (no corrections) is -7.8287 eV/atom. The value obtained for the energy above the lowest structure with this stoichiometry is 865 meV per atom. As for the total magnetic moment: 0.000 μB/atom. The energy relative to the elements, uncorrected comes out at 0.43 eV/atom.

Cell lengths 6.9490, 6.9490, 2.8462 Å; angles 90.00, 90.00, 90.00 degrees
With the nearest neighbours (Å) after each atom.
Space group P4/mbm (No. 127)
One atom of each set of equivalent atoms:
Ta 0.1355 0.3645 0.0000  4 N 2.28
Cd 0.0000 0.0000 0.0000  4 Ta 2.70, 2 Cd 2.85
N 0.1205 0.6205 0.5000  4 Ta 2.28, 1 N 2.37

No. 2
The following is a PBE calculation of a relaxed Ta2CdN2 crystal, from Alexandria via LeMat-Bulk.

Properties
The value obtained for the total DFT energy (no corrections) is -8.6935 eV/atom. The value obtained for the energy above the lowest structure with this stoichiometry is 0 meV per atom. As for the total magnetic moment: 0.000 μB/atom. The energy relative to the elements, uncorrected comes out at -0.44 eV/atom.

Cell lengths 3.8236, 3.8236, 9.5877 Å; angles 90.00, 90.00, 90.00 degrees
With the nearest neighbours (Å) after each atom.
Space group I4/mmm (No. 139)
One atom of each set of equivalent atoms:
Ta 0.0000 0.0000 0.1537  4 N 2.12
Cd 0.0000 0.0000 0.5000  8 N 3.07, 10 Ta 3.08-3.32
N 0.0000 0.5000 0.2500  4 Ta 2.12

No. 3
The following is a PBE calculation of a relaxed Ta3CdN crystal, from Alexandria via LeMat-Bulk.

Properties
The value obtained for the total DFT energy (no corrections) is -5.6221 eV/atom. As for the total magnetic moment: 0.000 μB/atom. The energy relative to the elements, uncorrected comes out at 3.34 eV/atom.

Cell lengths 4.9413, 4.9413, 4.9413 Å; angles 90.00, 90.00, 90.00 degrees
With the nearest neighbours (Å) after each atom.
Space group Pm-3m (No. 221)
One atom of each set of equivalent atoms:
Ta 0.0000 0.0000 0.5000  2 Cd 2.47
Cd 0.0000 0.0000 0.0000  6 Ta 2.47
N 0.5000 0.5000 0.5000  12 Ta 3.49

No. 4
The following is a PBE calculation of a relaxed TaCdN2 crystal, from Alexandria via LeMat-Bulk.

Properties
The value obtained for the total DFT energy (no corrections) is -7.7146 eV/atom. As for the total magnetic moment: 0.000 μB/atom. The energy relative to the elements, uncorrected comes out at -0.36 eV/atom.

Cell lengths 5.1495, 5.1495, 9.6466 Å; angles 90.00, 90.00, 90.00 degrees
With the nearest neighbours (Å) after each atom.
Space group I-42d (No. 122)
One atom of each set of equivalent atoms:
Ta 0.0000 0.0000 0.0000  4 N 1.98
Cd 0.0000 0.0000 0.5000  4 N 2.44
N 0.1725 0.2500 0.1250  2 Ta 1.98

No. 5
The following is a PBE calculation of a relaxed TaCdN2 crystal, from Alexandria via LeMat-Bulk.

Properties
The value obtained for the total DFT energy (no corrections) is -7.8078 eV/atom. As for the total magnetic moment: 0.000 μB/atom. The energy relative to the elements, uncorrected comes out at -0.45 eV/atom.

Cell lengths 3.1406, 3.1406, 20.3363 Å; angles 90.00, 90.00, 120.00 degrees
With the nearest neighbours (Å) after each atom.
Space group R-3m (No. 166, hexagonal axes)
One atom of each set of equivalent atoms:
Ta 0.0000 0.0000 0.0000  6 N 2.11
Cd 0.0000 0.0000 0.5000  2 N 2.31
N 0.0000 0.0000 0.3866  3 Ta 2.11, 1 Cd 2.31

No. 6
The following is a PBE calculation of a relaxed Ta3CdN crystal, from Alexandria via LeMat-Bulk.

Properties
The value obtained for the total DFT energy (no corrections) is -9.1625 eV/atom. As for the total magnetic moment: 0.000 μB/atom. The energy relative to the elements, uncorrected comes out at -0.20 eV/atom.

Cell lengths 4.2997, 4.2997, 4.2997 Å; angles 90.00, 90.00, 90.00 degrees
With the nearest neighbours (Å) after each atom.
Space group Pm-3m (No. 221)
One atom of each set of equivalent atoms:
Ta 0.0000 0.0000 0.5000  2 N 2.15
Cd 0.5000 0.5000 0.5000  12 Ta 3.04
N 0.0000 0.0000 0.0000  6 Ta 2.15

No. 7
The following is a PBE calculation of a relaxed Ta2Cd2N crystal, from Alexandria via LeMat-Bulk.

Properties
The value obtained for the total DFT energy (no corrections) is -6.9878 eV/atom. As for the total magnetic moment: 0.000 μB/atom. The energy relative to the elements, uncorrected comes out at -0.22 eV/atom.

Cell lengths 5.7439, 5.7439, 5.3140 Å; angles 90.00, 90.00, 90.00 degrees
With the nearest neighbours (Å) after each atom.
Space group P4/mbm (No. 127)
One atom of each set of equivalent atoms:
Ta 0.1751 0.3249 0.0000  2 N 2.12
Cd 0.1676 0.6676 0.5000  5 Cd 2.72-3.02, 2 Ta 2.95
N 0.0000 0.0000 0.0000  4 Ta 2.12

No. 8
The following is a PBE calculation of a relaxed Ta2CdTeN crystal, from Alexandria via LeMat-Bulk.

Properties
The value obtained for the total DFT energy (no corrections) is -4.0732 eV/atom. As for the total magnetic moment: 0.001 μB/atom. The energy relative to the elements, uncorrected comes out at 3.14 eV/atom.

Cell lengths 5.1110, 5.1110, 5.1703 Å; angles 90.00, 90.00, 90.00 degrees
With the nearest neighbours (Å) after each atom.
Space group P4/mmm (No. 123)
One atom of each set of equivalent atoms:
Ta 0.0000 0.5000 0.0000  2 Cd 2.56
Cd 0.0000 0.0000 0.0000  4 Ta 2.56, 2 Te 2.59
Te 0.0000 0.0000 0.5000  2 Cd 2.59
N 0.5000 0.5000 0.5000  4 Te 3.61, 8 Ta 3.64